i | BaCa2Cr | PBE | relaxed

Values from the calculation:
- Space-group type: No. 12

Cell: 7.2237 7.2237 6.2201 Å, 64.57 64.57 32.55°
Closest atoms and distances in Å follow each position.
Fractional coordinates of all 4 atoms:
Ca1 0.9554 0.9554 0.0446  2 Cr 3.25
Ca2 0.5446 0.5446 0.4554  2 Cr 3.25
Ba1 0.7500 0.7500 0.7500  4 Cr 3.71, 4 Ca 4.02, 2 Ba 4.05
Cr1 0.2500 0.2500 0.2500  4 Ca 3.25

ii | BaCa2Cr | PBE | relaxed

Values from the calculation:
- Space-group type: No. 123

Cell: 3.9319 3.9344 10.0710 Å, 90.00 90.00 90.00°
Closest atoms and distances in Å follow each position.
Fractional coordinates of all 4 atoms:
Ca1 0.0000 0.0000 0.4316  4 Cr 3.33, 1 Ca 3.66
Ca2 0.0000 0.0000 0.0684  4 Cr 3.33, 1 Ca 3.66
Cr1 0.5000 0.5000 0.2500  8 Ca 3.33
Ba1 0.5000 0.5000 0.7500  4 Ba 3.93, 8 Ca 4.24

iii | BaCa2Cr | PBE | relaxed

Values from the calculation:
- Space-group type: No. 12

Cell: 7.1892 7.1892 3.7841 Å, 77.39 77.39 119.32°
Closest atoms and distances in Å follow each position.
Fractional coordinates of all 4 atoms:
Ca1 0.0000 0.0000 0.0000  6 Ca 3.63-3.95, 2 Ba 3.68, 2 Cr 3.68
Ca2 0.5000 0.5000 0.0000  6 Ca 3.63-3.95, 2 Cr 3.68, 2 Ba 3.68
Cr1 0.5000 0.0000 0.5000  4 Ba 3.63-3.95, 4 Ca 3.68, 2 Cr 3.78
Ba1 0.0000 0.5000 0.5000  4 Cr 3.63-3.95, 4 Ca 3.68, 2 Ba 3.78

iv | BaCa2Cr | PBE | relaxed

Values from the calculation:
- Space-group type: No. 122

Cell: 6.7470 6.7470 10.6429 Å, 71.52 71.52 90.00°
Closest atoms and distances in Å follow each position.
Fractional coordinates of all 8 atoms:
Ca1 0.8750 0.6262 0.7500  2 Cr 2.92
Ca2 0.3750 0.6238 0.7500  2 Cr 2.92
Cr1 0.2500 0.7500 0.5000  4 Ca 2.92
Ba1 0.0000 0.0000 0.0000  8 Ca 4.45-4.46, 4 Cr 4.77
Ba2 0.7500 0.2500 0.5000  8 Ca 4.45-4.46, 4 Cr 4.77
Cr2 0.5000 0.5000 0.0000  4 Ca 2.92
Ca3 0.3762 0.1250 0.2500  2 Cr 2.92
Ca4 0.3738 0.6250 0.2500  2 Cr 2.92

It is iv that is the least stable of them.

i | BaCa3Cr | PBE | relaxed

Values from the calculation:
- Space-group type: No. 221

Cell: 5.7509 5.7509 5.7509 Å, 90.00 90.00 90.00°
Closest atoms and distances in Å follow each position.
Fractional coordinates of all 5 atoms:
Ca1 0.0000 0.5000 0.0000  2 Cr 2.88
Cr1 0.0000 0.0000 0.0000  6 Ca 2.88
Ca2 0.5000 0.0000 0.0000  2 Cr 2.88
Ba1 0.5000 0.5000 0.5000  12 Ca 4.07
Ca3 0.0000 0.0000 0.5000  2 Cr 2.88

ii | BaCa3Cr | PBE | relaxed

Values from the calculation:
- Space-group type: No. 221

Cell: 6.0722 6.0722 6.0722 Å, 90.00 90.00 90.00°
Closest atoms and distances in Å follow each position.
Fractional coordinates of all 5 atoms:
Ba1 0.0000 0.0000 0.0000  6 Ca 3.04
Ca1 0.0000 0.5000 0.0000  2 Ba 3.04
Ca2 0.0000 0.0000 0.5000  2 Ba 3.04
Cr1 0.5000 0.5000 0.5000  12 Ca 4.29
Ca3 0.5000 0.0000 0.0000  2 Ba 3.04

It is ii that is the least stable of them.

i | Ba2CaCrHg | PBE | relaxed

Values from the calculation:
- Space-group type: No. 123

Cell: 6.8685 5.3578 6.8685 Å, 90.00 90.00 90.00°
Closest atoms and distances in Å follow each position.
Fractional coordinates of all 5 atoms:
Hg1 0.5000 0.5000 0.5000  8 Ba 4.36, 4 Cr 4.86
Cr1 0.0000 0.5000 0.0000  2 Ca 2.68
Ba1 0.5000 0.0000 0.0000  2 Ca 3.43
Ba2 0.0000 0.0000 0.5000  2 Ca 3.43
Ca1 0.0000 0.0000 0.0000  2 Cr 2.68

ii | Ba2CaCrHg | PBE | relaxed

Values from the calculation:
- Space-group type: No. 123

Cell: 5.8329 5.8329 5.5507 Å, 90.00 90.00 90.00°
Closest atoms and distances in Å follow each position.
Fractional coordinates of all 5 atoms:
Hg1 0.5000 0.5000 0.5000  8 Ba 4.03, 4 Ca 4.12
Ba1 0.0000 0.5000 0.0000  2 Cr 2.92
Ba2 0.5000 0.0000 0.0000  2 Cr 2.92
Cr1 0.0000 0.0000 0.0000  2 Ca 2.78, 4 Ba 2.92
Ca1 0.0000 0.0000 0.5000  2 Cr 2.78

It is i that is the least stable of them.

i | CsBa2Ca | PBE | relaxed

Values from the calculation:
- Space-group type: No. 160

Cell: 4.4492 4.4492 15.3585 Å, 81.67 81.67 60.00°
Closest atoms and distances in Å follow each position.
Fractional coordinates of all 4 atoms:
Cs1 0.5001 0.5001 0.4997  6 Cs 4.45, 6 Ba 4.97-4.98
Ca1 0.6666 0.6666 0.0001  6 Ba 4.19, 6 Ca 4.45
Ba1 0.0728 0.0728 0.7816  3 Ca 4.19, 6 Ba 4.45
Ba2 0.2605 0.2605 0.2186  3 Ca 4.19, 6 Ba 4.45

ii | CsBa2Ca | PBE | relaxed

Values from the calculation:
- Space-group type: No. 225

Cell: 7.0930 7.0930 7.0930 Å, 60.00 60.00 60.00°
Closest atoms and distances in Å follow each position.
Fractional coordinates of all 4 atoms:
Ba1 0.7500 0.7500 0.7500  4 Ca 4.34, 4 Cs 4.34
Cs1 0.5000 0.5000 0.5000  8 Ba 4.34
Ca1 0.0000 0.0000 0.0000  8 Ba 4.34
Ba2 0.2500 0.2500 0.2500  4 Ca 4.34, 4 Cs 4.34

iii | CsBa2Ca | PBE | relaxed

Values from the calculation:
- Space-group type: No. 166

Cell: 4.3866 4.3866 15.6757 Å, 81.96 81.96 60.00°
Closest atoms and distances in Å follow each position.
Fractional coordinates of all 4 atoms:
Cs1 0.0000 0.0000 0.0000  6 Cs 4.39, 2 Ba 4.40
Ba1 0.9052 0.9052 0.2844  3 Ca 4.19, 6 Ba 4.39, 1 Cs 4.40
Ca1 0.5000 0.5000 0.5000  6 Ba 4.19, 6 Ca 4.39
Ba2 0.0948 0.0948 0.7156  3 Ca 4.19, 6 Ba 4.39, 1 Cs 4.40

iv | CsBa2Ca | PBE | relaxed

Values from the calculation:
- Space-group type: No. 123

Cell: 4.7719 7.2495 7.2495 Å, 90.00 90.00 90.00°
Closest atoms and distances in Å follow each position.
Fractional coordinates of all 4 atoms:
Ca1 0.5000 0.5000 0.5000  8 Ba 4.34, 2 Ca 4.77
Ba1 0.0000 0.5000 0.0000  4 Ca 4.34, 4 Cs 4.34, 2 Ba 4.77
Ba2 0.0000 0.0000 0.5000  4 Ca 4.34, 4 Cs 4.34, 2 Ba 4.77
Cs1 0.5000 0.0000 0.0000  8 Ba 4.34, 2 Cs 4.77

It is iv that is the least stable of them.

i | CsBaCaGeO | PBE | relaxed

Values from the calculation:
- Space-group type: No. 8

Cell: 10.3680 4.9632 9.3970 Å, 90.00 106.05 90.00°
Closest atoms and distances in Å follow each position.
Fractional coordinates of all 10 atoms:
Ca1 0.4954 0.5000 0.1242  1 O 2.16
Ca2 0.4954 0.0000 0.6242  1 O 2.16
Ge1 0.4609 0.0000 0.9318  1 O 2.02
Ba1 0.2603 0.5000 0.7388  2 O 2.60
Ba2 0.2603 0.0000 0.2388  2 O 2.60
Cs1 0.8061 0.5000 0.9251  3 Ca 4.15-4.41, 2 Ge 4.37
O1 0.3325 0.0000 0.7265  1 Ge 2.02, 1 Ca 2.16
Ge2 0.4609 0.5000 0.4318  1 O 2.02
Cs2 0.8061 0.0000 0.4251  3 Ca 4.15-4.41, 2 Ge 4.37
O2 0.3325 0.5000 0.2265  1 Ge 2.02, 1 Ca 2.16

ii | CsBaCaGeO | PBE | relaxed

Values from the calculation:
- Space-group type: No. 6

Cell: 4.4655 4.2315 10.7294 Å, 90.00 101.68 90.00°
Closest atoms and distances in Å follow each position.
Fractional coordinates of all 5 atoms:
Ca1 0.0298 0.5000 0.2889  2 O 2.43
Ba1 0.5308 0.0000 0.0571  2 O 2.53-2.79
Cs1 0.8241 0.5000 0.6269  2 Ge 3.67, 1 Ca 3.92
Ge1 0.4995 0.0000 0.3536  1 O 2.11
O1 0.1322 0.0000 0.1949  1 Ge 2.11

iii | CsBaCaGeO | PBE | relaxed

Values from the calculation:
- Space-group type: No. 25

Cell: 3.9032 3.8700 11.8473 Å, 90.00 90.00 90.00°
Closest atoms and distances in Å follow each position.
Fractional coordinates of all 5 atoms:
Cs1 0.0000 0.0000 0.6255  4 Ge 3.72, 1 Ca 3.85, 4 Cs 3.87-3.90
Ba1 0.5000 0.5000 0.0709  4 O 2.79
O1 0.0000 0.0000 0.1108  1 Ca 2.24
Ca1 0.0000 0.0000 0.3003  1 O 2.24
Ge1 0.5000 0.5000 0.4138  4 Ca 3.06

It is ii that is the least stable of them.

i | BaCa2Cu | PBE | relaxed

Values from the calculation:
- Space-group type: No. 166

Cell: 10.4692 10.4692 10.4692 Å, 23.41 23.41 23.41°
Closest atoms and distances in Å follow each position.
Fractional coordinates of all 4 atoms:
Ca1 0.9685 0.9685 0.9685  3 Cu 2.92
Ba1 0.7500 0.7500 0.7500  6 Ba 4.25, 6 Ca 4.28
Ca2 0.5315 0.5315 0.5315  3 Cu 2.92
Cu1 0.2500 0.2500 0.2500  6 Ca 2.92

ii | BaCa2Cu | PBE | relaxed

Values from the calculation:
- Space-group type: No. 225

Cell: 5.6748 5.6748 5.6748 Å, 60.00 60.00 60.00°
Closest atoms and distances in Å follow each position.
Fractional coordinates of all 4 atoms:
Ca1 0.7500 0.7500 0.7500  4 Ba 3.48, 4 Cu 3.48
Cu1 0.0000 0.0000 0.0000  8 Ca 3.48
Ca2 0.2500 0.2500 0.2500  4 Ba 3.48, 4 Cu 3.48
Ba1 0.5000 0.5000 0.5000  8 Ca 3.48

iii | BaCa2Cu | PBE | relaxed

Values from the calculation:
- Space-group type: No. 123

Cell: 5.8999 4.9441 4.9441 Å, 90.00 90.00 90.00°
Closest atoms and distances in Å follow each position.
Fractional coordinates of all 4 atoms:
Ba1 0.5000 0.0000 0.5000  4 Cu 3.50, 8 Ca 3.85
Ca1 0.0000 0.5000 0.5000  4 Ca 3.50, 4 Ba 3.85, 4 Cu 3.85
Cu1 0.5000 0.5000 0.0000  4 Ba 3.50, 8 Ca 3.85
Ca2 0.0000 0.0000 0.0000  4 Ca 3.50, 4 Ba 3.85, 4 Cu 3.85

iv | BaCa2Cu | PBE | relaxed

Values from the calculation:
- Space-group type: No. 160

Cell: 10.6665 10.6665 10.6665 Å, 22.87 22.87 22.87°
Closest atoms and distances in Å follow each position.
Fractional coordinates of all 4 atoms:
Ca1 0.2256 0.2256 0.2256  3 Cu 2.93
Ba1 0.7748 0.7748 0.7748  3 Cu 3.18
Ca2 0.9927 0.9927 0.9927  9 Ca 3.97-4.23, 3 Ba 4.35
Cu1 0.5069 0.5069 0.5069  3 Ca 2.93, 3 Ba 3.18

It is ii that is the least stable of them.